RbGaN2 | GGA-PBEsol | relaxed

Cell and atoms, written as extended XYZ:
```
4
Lattice="2.153 1.243 6.698 -2.153 1.243 6.698 0.000 -2.486 6.698" Properties=species:S:1:pos:R:3 pbc="T T T"
Rb 0.000 0.000 0.000
Ga 0.000 0.000 10.047
N 0.000 0.000 8.310
N 0.000 0.000 11.785
```

Computed properties:
**DFT total energy**: -4.355 eV per atom
**Raw formation energy**: 1.000 eV/atom

RbGaSeN2 | GGA-PBEsol | relaxed

Cell and atoms, written as extended XYZ:
```
5
Lattice="4.296 0.000 0.000 0.000 4.296 0.000 0.000 0.000 5.067" Properties=species:S:1:pos:R:3 pbc="T T T"
Rb 0.000 0.000 0.000
Ga 2.148 2.148 2.533
Se 2.148 2.148 0.000
N 0.000 2.148 2.533
N 2.148 0.000 2.533
```

Computed properties:
**DFT total energy**: -4.131 eV per atom
**Raw formation energy**: 0.923 eV/atom

RbGaSeN2 | GGA-PBEsol | relaxed

Cell and atoms, written as extended XYZ:
```
5
Lattice="5.110 0.000 0.000 0.000 5.110 0.000 0.000 0.000 6.413" Properties=species:S:1:pos:R:3 pbc="T T T"
Rb 0.000 0.000 0.000
Ga 2.555 2.555 3.206
Se 0.000 0.000 3.206
N 0.000 2.555 0.000
N 2.555 0.000 0.000
```

Computed properties:
**DFT total energy**: -2.942 eV per atom
**Raw formation energy**: 2.112 eV/atom

RbGaTe2N | GGA-PBEsol | relaxed

Cell and atoms, written as extended XYZ:
```
5
Lattice="6.278 0.000 0.000 0.000 6.278 0.000 0.000 0.000 3.444" Properties=species:S:1:pos:R:3 pbc="T T T"
Rb 0.000 0.000 0.000
Ga 3.139 3.139 1.722
Te 0.000 3.139 1.722
Te 3.139 0.000 1.722
N 3.139 3.139 0.000
```

Computed properties:
**DFT total energy**: -3.816 eV per atom
**Raw formation energy**: 0.173 eV/atom

GaReN3 | GGA-PBEsol | relaxed

Cell and atoms, written as extended XYZ:
```
5
Lattice="3.747 0.000 0.000 0.000 3.747 0.000 0.000 0.000 3.747" Properties=species:S:1:pos:R:3 pbc="T T T"
Ga 0.000 0.000 0.000
Re 1.874 1.874 1.874
N 0.000 0.000 1.874
N 0.000 1.874 0.000
N 1.874 0.000 0.000
```

Computed properties:
**DFT total energy**: -6.585 eV per atom
**Raw formation energy**: 1.865 eV/atom

GaReSN2 | GGA-PBEsol | relaxed

Cell and atoms, written as extended XYZ:
```
5
Lattice="3.820 0.000 0.000 0.000 3.820 0.000 0.000 0.000 4.955" Properties=species:S:1:pos:R:3 pbc="T T T"
Ga 0.000 0.000 0.000
Re 1.910 1.910 2.477
S 1.910 1.910 0.000
N 0.000 1.910 2.477
N 1.910 0.000 2.477
```

Computed properties:
**DFT total energy**: -7.371 eV per atom
**Raw formation energy**: 0.251 eV/atom